# CsZnNiF6

CsZnNiF6 after structural relaxation (PBE+U, the Alexandria database).

abc: 7.332 7.457 10.444
angles: 90.00 90.00 90.00
Space group Imma (No. 74)
Symmetry-distinct sites (fractional):
Cs1 0.000 0.250 0.125 x4
Zn1 0.250 0.250 0.750 x4
Ni1 0.000 0.000 0.500 x4
F1 0.000 0.250 0.439 x4
F2 0.000 0.250 0.827 x4
F3 0.185 0.046 0.623 x16

Values from the calculation:
* E: -143.78 eV per cell